First-principles (PBE) data for a relaxed structure of Ga2Ru2Pt, as listed in the Alexandria database.

```
Ga2Ru2Pt
1.0
7.1304 0.0000 0.0000
0.0000 7.1304 0.0000
0.0000 0.0000 2.9635
Ru Ga Pt
4 4 2
Cartesian
0.9095 2.6557 0.0000 Ru
6.2209 4.4747 0.0000 Ru
2.6557 6.2209 0.0000 Ru
4.4747 0.9095 0.0000 Ru
4.7914 5.9042 1.4817 Ga
1.2262 4.7914 1.4817 Ga
2.3390 1.2262 1.4817 Ga
5.9042 2.3390 1.4817 Ga
3.5652 3.5652 0.0000 Pt
0.0000 0.0000 0.0000 Pt
```

Energy of formation from the pure elements (eV/f.u.): -0.45
Energy above the most stable polymorph in this dataset (eV per formula unit): 0.16
Electronic total energy (eV per atom): -6.218
Symmetry: No. 127

First-principles (PBE) data for a relaxed structure of Fe3SbBr, as listed in the Alexandria database.

```
Fe3SbBr
1.0
4.9894 0.0000 0.0000
0.0000 4.9894 0.0000
0.0000 0.0000 4.9894
Fe Sb Br
3 1 1
Cartesian
0.0000 0.0000 2.4947 Fe
2.4947 0.0000 0.0000 Fe
0.0000 2.4947 0.0000 Fe
0.0000 0.0000 0.0000 Sb
2.4947 2.4947 2.4947 Br
```

Energy above the most stable polymorph in this dataset (eV per formula unit): 0.17
Energy relative to the elements, uncorrected (eV per atom): 1.101
Electronic total energy (eV per atom): -5.135
Symmetry: No. 221

First-principles (PBE) data for a relaxed structure of Rb4H3, as listed in the Alexandria database.

```
Rb4H3
1.0
4.2407 0.0000 0.8536
2.0345 3.7209 0.8536
-0.7804 -0.4627 14.8386
H Rb
3 4
Cartesian
0.0000 0.0000 0.0000 H
1.4192 0.8415 3.9105 H
4.0757 2.4167 12.6352 H
3.8476 2.2814 2.8070 Rb
0.2340 0.1387 9.7990 Rb
5.2609 3.1194 6.7467 Rb
1.6473 0.9768 13.7387 Rb
```

Electronic total energy (eV per atom): -2.103
Symmetry: No. 166

First-principles (PBE) data for a relaxed structure of DyAgHgCl6, as listed in the Alexandria database.

```
DyAgHgCl6
1.0
6.7934 0.0000 0.0000
-3.3967 5.8832 0.0000
0.0000 0.0000 12.3195
Hg Cl Ag Dy
2 12 2 2
Cartesian
0.0000 3.9221 3.0799 Hg
3.3967 1.9611 9.2396 Hg
-1.1326 2.0483 7.7255 Cl
1.2076 2.0051 4.5939 Cl
4.4531 0.0433 4.5939 Cl
2.1891 3.8782 7.7255 Cl
1.1326 2.0483 10.7537 Cl
-2.1891 3.8782 10.7537 Cl
4.5293 3.8349 4.5939 Cl
1.0565 5.8400 10.7537 Cl
2.2640 3.8349 1.5658 Cl
2.3402 0.0433 1.5658 Cl
-1.0565 5.8400 7.7255 Cl
5.5858 2.0051 1.5658 Cl
0.0000 0.0000 0.0000 Ag
0.0000 0.0000 6.1597 Ag
3.3967 1.9611 3.0799 Dy
0.0000 3.9221 9.2396 Dy
```

Energy relative to the elements, uncorrected (eV per atom): -1.274
Electronic total energy (eV per atom): -3.367
Symmetry: No. 163

First-principles (PBE) data for a relaxed structure of Ac2ReAs, as listed in the Alexandria database.

```
Ac2ReAs
1.0
3.9477 0.0000 0.0000
0.0000 5.2632 0.0000
0.0000 0.0000 5.2632
Re Ac As
1 2 1
Cartesian
1.9738 0.0000 0.0000 Re
0.0000 2.6316 0.0000 Ac
0.0000 0.0000 2.6316 Ac
1.9738 2.6316 2.6316 As
```

Energy of formation from the pure elements (eV/f.u.): 0.08
Energy above the most stable polymorph in this dataset (eV per formula unit): 0.00
Electronic total energy (eV per atom): -6.309
Symmetry: No. 123

First-principles (PBE) data for a relaxed structure of TlOsBr2, as listed in the Alexandria database.

```
TlOsBr2
1.0
2.1859 0.0000 9.5995
-1.0929 1.8930 9.5995
-1.0929 -1.8930 9.5995
Br Tl Os
2 1 1
Cartesian
0.0000 0.0000 25.2876 Br
0.0000 0.0000 3.5110 Br
0.0000 0.0000 0.0000 Tl
0.0000 0.0000 14.3993 Os
```

Energy above the most stable polymorph in this dataset (eV per formula unit): 0.51
Energy relative to the elements, uncorrected (eV per atom): 0.406
Electronic total energy (eV per atom): -3.830
Symmetry: No. 166

First-principles (PBE) data for a relaxed structure of TaCuSb2Ir, as listed in the Alexandria database.

```
TaCuSb2Ir
1.0
5.0419 0.0000 0.0000
0.0000 4.6218 0.0000
0.0000 0.0000 5.0419
Ta Sb Cu Ir
1 2 1 1
Cartesian
2.5209 2.3109 2.5209 Ta
2.5209 0.0000 0.0000 Sb
0.0000 0.0000 2.5209 Sb
0.0000 2.3109 0.0000 Cu
0.0000 0.0000 0.0000 Ir
```

Energy above the most stable polymorph in this dataset (eV per formula unit): 0.00
Energy relative to the elements, uncorrected (eV per atom): 1.119
Electronic total energy (eV per atom): -5.491
Symmetry: No. 123

First-principles (PBE) data for a relaxed structure of RbRe3Ni, as listed in the Alexandria database.

```
RbRe3Ni
1.0
4.6548 0.0000 0.0000
0.0000 4.6548 0.0000
0.0000 0.0000 4.6548
Re Ni Rb
3 1 1
Cartesian
0.0000 2.3274 0.0000 Re
2.3274 0.0000 0.0000 Re
0.0000 0.0000 2.3274 Re
0.0000 0.0000 0.0000 Ni
2.3274 2.3274 2.3274 Rb
```

Energy of formation from the pure elements (eV/f.u.): 11.86
Energy above the most stable polymorph in this dataset (eV per formula unit): 0.00
Electronic total energy (eV per atom): -6.446
Symmetry: No. 221

First-principles (PBE) data for a relaxed structure of CaPm8Pr6, as listed in the Alexandria database.

```
CaPm8Pr6
1.0
-7.8571 -1.2326 2.8359
-3.6559 -5.8019 -4.9264
-0.1129 -7.3025 4.2375
Pr Pm Ca
6 8 1
Cartesian
-5.9731 -8.9719 3.2739 Pr
-5.6529 -5.3651 -1.1269 Pr
-5.5445 -4.8737 2.7413 Pr
-8.6610 -7.1109 1.1460 Pr
-2.9650 -7.2261 1.0010 Pr
-6.0815 -9.4633 -0.5943 Pr
-3.4570 -10.6707 1.3570 Pm
-2.6849 -3.3110 0.4958 Pm
-8.1690 -3.6663 0.7901 Pm
-8.3352 -7.2657 -2.3214 Pm
-3.2908 -7.0713 4.4685 Pm
-8.0131 -6.4871 4.6220 Pm
-8.9411 -11.0260 1.6512 Pm
-3.6129 -7.8499 -2.4750 Pm
0.0000 0.0000 0.0000 Ca
```

Energy of formation from the pure elements (eV/f.u.): 2.14
Electronic total energy (eV per atom): -4.436
Symmetry: No. 148

First-principles (PBE) data for a relaxed structure of ReSnBr2, as listed in the Alexandria database.

```
ReSnBr2
1.0
8.9668 0.0000 0.0000
0.0000 8.9668 0.0000
4.4834 4.4834 2.6514
Br Sn Re
4 2 2
Cartesian
6.7251 5.5672 1.9885 Br
11.2085 3.3995 1.9885 Br
7.8829 2.2417 0.6628 Br
10.0506 6.7251 0.6628 Br
4.4834 4.4834 0.0000 Sn
4.4834 8.9668 1.3257 Sn
0.0000 0.0000 0.0000 Re
8.9668 4.4834 1.3257 Re
```

Energy above the most stable polymorph in this dataset (eV per formula unit): 0.00
Energy relative to the elements, uncorrected (eV per atom): 0.475
Electronic total energy (eV per atom): -4.475
Symmetry: No. 122

First-principles (PBE) data for a relaxed structure of Mn2GeHN, as listed in the Alexandria database.

```
Mn2GeHN
1.0
3.7451 0.0000 0.0000
0.0000 2.6709 0.0000
0.0000 0.0000 10.8278
Mn N Ge H
4 2 2 2
Cartesian
1.8726 0.0000 6.5242 Mn
0.0000 1.3354 7.7720 Mn
1.8726 0.0000 2.3581 Mn
0.0000 1.3354 1.1103 Mn
1.8726 1.3354 1.0578 N
0.0000 0.0000 6.4717 N
0.0000 0.0000 9.8144 Ge
1.8726 1.3354 4.4005 Ge
0.0000 0.0000 2.3788 H
1.8726 1.3354 7.7927 H
```

Energy above the most stable polymorph in this dataset (eV per formula unit): 0.41
Electronic total energy (eV per atom): -6.945
Symmetry: No. 44

First-principles (PBE) data for a relaxed structure of Cr2Rh3, as listed in the Alexandria database.

```
Cr2Rh3
1.0
10.7807 -0.0235 -0.0137
10.4524 2.6403 -0.0137
10.4524 1.2882 2.3048
Cr Rh
2 3
Cartesian
19.0075 2.3425 1.3661 Cr
12.6780 1.5624 0.9112 Cr
25.2141 3.1074 1.8122 Rh
6.4714 0.7975 0.4651 Rh
0.0000 0.0000 0.0000 Rh
```

Energy of formation from the pure elements (eV/f.u.): -0.08
Energy above the most stable polymorph in this dataset (eV per formula unit): 0.33
Electronic total energy (eV per atom): -8.276
Symmetry: No. 166